Sr2Cu2I | the Alexandria database | PBE | optimized geometry; DOS at the Fermi energy = 2.50 states/eV/f.u.; VASP energy = -14.81 eV/f.u.; formation energy without anion corrections = -0.341 eV/atom
1.0
-0.406 -3.697 7.633
3.607 -6.991 -3.195
3.633 1.463 0.902
I Sr Cu
2 4 4
Cartesian
0.000 0.000 0.000 I
1.601 -5.344 2.219 I
4.197 -4.692 -0.346 Sr
4.497 -7.514 3.025 Sr
2.637 -4.534 5.686 Sr
2.337 -1.711 2.315 Sr
1.806 -7.527 4.935 Cu
3.079 -7.754 0.171 Cu
1.396 -3.161 -0.497 Cu
0.122 -2.934 4.267 Cu